The following is a DFT calculation (PBE) of Pm2NdGa3 after structural relaxation.

a = 3.6747 Å, b = 3.6747 Å, c = 11.0486 Å
α = 90.00°, β = 90.00°, γ = 90.00°
With the nearest neighbours (Å) after each atom.
Atoms (fractional coordinates):
1 Ga 0.0000 0.0000 0.0000  8 Pm 3.18
2 Nd 0.5000 0.5000 0.5000  8 Ga 3.20
3 Ga 0.0000 0.0000 0.6693  4 Pm 3.17, 4 Nd 3.20
4 Pm 0.5000 0.5000 0.8343  8 Ga 3.17-3.18
5 Pm 0.5000 0.5000 0.1657  8 Ga 3.17-3.18
6 Ga 0.0000 0.0000 0.3307  4 Pm 3.17, 4 Nd 3.20

Results
* formation energy from the elements: -327 kJ/mol of formula units

The following is a DFT calculation (PBE) of Li2CdHPb after structural relaxation.

a = 4.5449 Å, b = 4.1073 Å, c = 4.5449 Å
α = 90.00°, β = 90.00°, γ = 90.00°
With the nearest neighbours (Å) after each atom.
Atoms (fractional coordinates):
1 Li 0.0000 0.0000 0.5000  2 H 2.27
2 H 0.0000 0.0000 0.0000  2 Cd 2.05, 4 Li 2.27
3 Li 0.5000 0.0000 0.0000  2 H 2.27
4 Pb 0.5000 0.5000 0.5000  8 Li 3.06, 4 Cd 3.21
5 Cd 0.0000 0.5000 0.0000  2 H 2.05

Results
* energy: -2.503 eV per atom

The following is a DFT calculation (PBE) of LiPa5Bi5 after structural relaxation.

a = 6.0334 Å, b = 6.9470 Å, c = 9.0446 Å
α = 106.76°, β = 90.00°, γ = 115.74°
With the nearest neighbours (Å) after each atom.
Atoms (fractional coordinates):
1 Pa 0.6505 0.3010 0.3609  1 Pa 2.73
2 Bi 0.1829 0.3659 0.8490  1 Li 3.02, 2 Pa 3.24-3.25
3 Bi 0.8171 0.6341 0.1510  1 Li 3.02, 2 Pa 3.24-3.25
4 Bi 0.1671 0.3342 0.2955  1 Li 2.82, 2 Pa 3.09
5 Pa 0.0000 0.0000 0.5000  4 Bi 3.21-3.25, 4 Pa 3.45
6 Bi 0.8329 0.6658 0.7045  1 Li 2.82, 2 Pa 3.09
7 Li 0.0000 0.0000 0.0000  6 Bi 2.82-3.02
8 Pa 0.3495 0.6990 0.6391  1 Pa 2.73
9 Pa 0.4237 0.8475 0.3101  1 Pa 2.73
10 Pa 0.5763 0.1525 0.6899  1 Pa 2.73
11 Bi 0.5000 0.0000 0.0000  2 Li 3.02, 4 Pa 3.20-3.24

Results
* formation energy from the elements: 51 kJ/mol of formula units

The following is a DFT calculation (PBE) of Th2ScH after structural relaxation.

a = 3.3757 Å, b = 3.3757 Å, c = 9.6692 Å
α = 79.95°, β = 79.95°, γ = 60.00°
With the nearest neighbours (Å) after each atom.
Atoms (fractional coordinates):
1 Th 0.1100 0.1100 0.6699  3 H 2.53
2 Th 0.8900 0.8900 0.3301  3 H 2.53
3 Sc 0.0000 0.0000 0.0000  2 Th 3.13, 6 Sc 3.38
4 H 0.5000 0.5000 0.5000  6 Th 2.53

Results
* energy: -6.012 eV per atom

The following is a DFT calculation (PBE) of Sm3Y4Th after structural relaxation.

a = 3.4032 Å, b = 8.9511 Å, c = 8.9511 Å
α = 96.83°, β = 90.00°, γ = 90.00°
With the nearest neighbours (Å) after each atom.
Atoms (fractional coordinates):
1 Y 0.5000 0.2494 0.7506  1 Th 3.34, 5 Sm 3.36-3.42, 2 Y 3.40
2 Sm 0.0000 0.5000 0.0000  6 Y 3.35-3.42, 2 Sm 3.40
3 Th 0.5000 0.0000 0.0000  6 Y 3.34-3.35, 2 Th 3.40
4 Y 0.5000 0.7506 0.2494  1 Th 3.34, 5 Sm 3.36-3.42, 2 Y 3.40
5 Sm 0.5000 0.5000 0.5000  6 Y 3.36-3.50, 2 Sm 3.40
6 Sm 0.0000 0.0000 0.5000  6 Y 3.35-3.42, 2 Sm 3.40
7 Y 0.0000 0.2425 0.2425  2 Th 3.35, 4 Sm 3.35-3.50, 2 Y 3.40
8 Y 0.0000 0.7575 0.7575  2 Th 3.35, 4 Sm 3.35-3.50, 2 Y 3.40

Results
* formation energy from the elements: 326 kJ/mol of formula units

The following is a DFT calculation (PBE) of KFeNi2 after structural relaxation.

a = 5.7249 Å, b = 5.7249 Å, c = 5.7249 Å
α = 152.70°, β = 123.51°, γ = 63.85°
With the nearest neighbours (Å) after each atom.
Atoms (fractional coordinates):
1 K 0.7500 0.2500 0.5000  2 K 2.70
2 Fe 0.2500 0.7500 0.5000  4 Ni 2.35
3 Ni 0.0522 0.0522 0.0000  2 Fe 2.35
4 Ni 0.4478 0.4478 0.0000  2 Fe 2.35

Results
* formation energy from the elements: 326 kJ/mol of formula units

The following is a DFT calculation (PBE) of Ti4Nb2Tc after structural relaxation.

a = 2.8847 Å, b = 7.1810 Å, c = 7.1604 Å
α = 64.88°, β = 76.02°, γ = 105.50°
With the nearest neighbours (Å) after each atom.
Atoms (fractional coordinates):
1 Ti 0.8530 0.7261 0.4068  1 Tc 2.57, 3 Ti 2.77-2.86, 2 Nb 2.82-2.88
2 Ti 0.1470 0.2739 0.5932  1 Tc 2.57, 3 Ti 2.77-2.86, 2 Nb 2.82-2.88
3 Tc 0.0000 0.0000 0.0000  4 Ti 2.57-2.60, 2 Nb 2.83
4 Nb 0.6002 0.1479 0.2865  3 Nb 2.68-2.88, 4 Ti 2.76-2.88, 1 Tc 2.83
5 Nb 0.3998 0.8521 0.7135  3 Nb 2.68-2.88, 4 Ti 2.76-2.88, 1 Tc 2.83
6 Ti 0.6485 0.4080 0.8615  1 Tc 2.60, 2 Nb 2.76-2.88, 5 Ti 2.77-2.90
7 Ti 0.3515 0.5920 0.1385  1 Tc 2.60, 2 Nb 2.76-2.88, 5 Ti 2.77-2.90

Results
* formation energy from the elements: -72 kJ/mol of formula units